Record 1
A plane-wave DFT calculation with GGA-PBE was carried out for a relaxed structure of Mg2ScVSb.

Theoretical density in Mg/m³: 3.01
Symmetry: P4/mmm (123)
Total magnetization in Bohr magnetons per cell: 0.1
Uncorrected formation energy in eV per atom: 0.990

a b c (Å): 5.221 5.221 5.389
angles (deg): 90.00 90.00 90.00
Fractional positions:
Mg1 0.000 0.500 0.000
Mg2 0.500 0.000 0.000
Sc1 0.000 0.000 0.500
V1 0.500 0.500 0.500
Sb1 0.000 0.000 0.000

=====

Record 2
A plane-wave DFT calculation with GGA-PBE was carried out for a relaxed structure of Cs14Ac2Se9.

Theoretical density in Mg/m³: 3.79
Symmetry: P-3 (147)
Total magnetization in Bohr magnetons per cell: 1.1
Uncorrected formation energy in eV per atom: -1.176

a b c (Å): 10.313 10.313 14.404
angles (deg): 90.00 90.00 120.00
Fractional positions:
Cs1 0.000 0.000 0.249
Cs2 0.000 0.000 0.751
Cs3 0.051 0.685 0.408
Cs4 0.092 0.395 0.096
Cs5 0.303 0.908 0.096
Cs6 0.315 0.366 0.408
Cs7 0.366 0.051 0.592
Cs8 0.395 0.303 0.904
Cs9 0.605 0.697 0.096
Cs10 0.634 0.949 0.408
Cs11 0.685 0.634 0.592
Cs12 0.697 0.092 0.904
Cs13 0.908 0.605 0.904
Cs14 0.949 0.315 0.592
Ac1 0.333 0.667 0.769
Ac2 0.667 0.333 0.231
Se1 0.000 0.000 0.500
Se2 0.089 0.372 0.840
Se3 0.283 0.911 0.840
Se4 0.333 0.667 0.561
Se5 0.372 0.283 0.160
Se6 0.628 0.717 0.840
Se7 0.667 0.333 0.439
Se8 0.717 0.089 0.160
Se9 0.911 0.628 0.160